[1]
A geometry-optimized SrZrBr2 structure. Source: Alexandria, functional GGA-PBE.

Geometry as CIF:
```
data_SrZrBr2
_cell_length_a 5.4274
_cell_length_b 5.4274
_cell_length_c 18.0641
_cell_angle_alpha 90.00
_cell_angle_beta 90.00
_cell_angle_gamma 90.00
_symmetry_space_group_name_H-M 'I -4 2 d'
_symmetry_Int_Tables_number 122
_symmetry_space_group_name_Hall 'I -4 2bw'
loop_
_atom_site_label
_atom_site_type_symbol
_atom_site_fract_x
_atom_site_fract_y
_atom_site_fract_z
_atom_site_occupancy
Sr1 Sr 0.0000 0.0000 0.0000 1
Zr1 Zr 0.0000 0.0000 0.5000 1
Br1 Br 0.2060 0.2500 0.6250 1
```

## Properties
Magnetic moment (μB/cell): 13.10
Energy (eV per cell): -63.10

=====

[2]
A geometry-optimized SrZrBr2 structure. Source: Alexandria, functional GGA-PBE.

Geometry as CIF:
```
data_SrZrBr2
_cell_length_a 3.5591
_cell_length_b 4.8271
_cell_length_c 6.8738
_cell_angle_alpha 90.00
_cell_angle_beta 90.00
_cell_angle_gamma 90.00
_symmetry_space_group_name_H-M 'P m m m'
_symmetry_Int_Tables_number 47
loop_
_symmetry_equiv_pos_as_xyz
'x,y,z'
'-x,-y,-z'
'-x,-y,z'
'x,y,-z'
'x,-y,-z'
'-x,y,z'
'-x,y,-z'
'x,-y,z'
loop_
_atom_site_label
_atom_site_type_symbol
_atom_site_fract_x
_atom_site_fract_y
_atom_site_fract_z
_atom_site_occupancy
Sr1 Sr 0.0000 0.0000 0.0000 1
Zr1 Zr 0.5000 0.0000 0.5000 1
Br1 Br 0.0000 0.5000 0.5000 1
Br2 Br 0.5000 0.5000 0.0000 1
```

## Properties
Magnetic moment (μB/cell): 1.35
Energy (eV per cell): -15.98

=====

[3]
A geometry-optimized SrZr2Br structure. Source: Alexandria, functional GGA-PBE.

Geometry as CIF:
```
data_SrZr2Br
_cell_length_a 7.6031
_cell_length_b 7.6031
_cell_length_c 7.6031
_cell_angle_alpha 90.00
_cell_angle_beta 90.00
_cell_angle_gamma 90.00
_symmetry_space_group_name_H-M 'F -4 3 m'
_symmetry_Int_Tables_number 216
_symmetry_space_group_name_Hall 'F -4 2 3'
loop_
_atom_site_label
_atom_site_type_symbol
_atom_site_fract_x
_atom_site_fract_y
_atom_site_fract_z
_atom_site_occupancy
Sr1 Sr 0.0000 0.0000 0.0000 1
Zr1 Zr 0.0000 0.0000 0.5000 1
Zr2 Zr 0.2500 0.2500 0.2500 1
Br1 Br 0.2500 0.2500 0.7500 1
```

## Properties
Magnetic moment (μB/cell): 11.47
Energy (eV per cell): -74.27

=====

[4]
A geometry-optimized SrZr2Br structure. Source: Alexandria, functional GGA-PBE.

Geometry as CIF:
```
data_SrZr2Br
_cell_length_a 13.5867
_cell_length_b 3.3160
_cell_length_c 5.1708
_cell_angle_alpha 90.00
_cell_angle_beta 111.97
_cell_angle_gamma 90.00
_symmetry_space_group_name_H-M 'C 1 2/m 1'
_symmetry_Int_Tables_number 12
loop_
_symmetry_equiv_pos_as_xyz
'x,y,z'
'-x,-y,-z'
'-x,y,-z'
'x,-y,z'
'x+1/2,y+1/2,z'
'-x+1/2,-y+1/2,-z'
'-x+1/2,y+1/2,-z'
'x+1/2,-y+1/2,z'
loop_
_atom_site_label
_atom_site_type_symbol
_atom_site_fract_x
_atom_site_fract_y
_atom_site_fract_z
_atom_site_occupancy
Sr1 Sr 0.0000 0.0000 0.0000 1
Zr1 Zr 0.2186 0.0000 0.7076 1
Br1 Br 0.0000 0.5000 0.5000 1
```

## Properties
Magnetic moment (μB/cell): 0.00
Energy (eV per cell): -41.63

=====

[5]
A geometry-optimized SrZr2Br structure. Source: Alexandria, functional GGA-PBE.

Geometry as CIF:
```
data_SrZr2Br
_cell_length_a 3.3444
_cell_length_b 6.3535
_cell_length_c 10.9102
_cell_angle_alpha 90.00
_cell_angle_beta 90.00
_cell_angle_gamma 90.00
_symmetry_space_group_name_H-M 'I m m 2'
_symmetry_Int_Tables_number 44
loop_
_symmetry_equiv_pos_as_xyz
'x,y,z'
'-x,-y,z'
'-x,y,z'
'x,-y,z'
'x+1/2,y+1/2,z+1/2'
'-x+1/2,-y+1/2,z+1/2'
'-x+1/2,y+1/2,z+1/2'
'x+1/2,-y+1/2,z+1/2'
loop_
_atom_site_label
_atom_site_type_symbol
_atom_site_fract_x
_atom_site_fract_y
_atom_site_fract_z
_atom_site_occupancy
Sr1 Sr 0.0000 0.0000 0.0000 1
Zr1 Zr 0.0000 0.0000 0.5396 1
Zr2 Zr 0.0000 0.5000 0.8127 1
Br1 Br 0.0000 0.5000 0.2474 1
```

## Properties
Magnetic moment (μB/cell): 0.00
Energy (eV per cell): -40.04

=====

[6]
A geometry-optimized SrZr2Br structure. Source: Alexandria, functional GGA-PBE.

Geometry as CIF:
```
data_SrZr2Br
_cell_length_a 3.4034
_cell_length_b 5.7575
_cell_length_c 6.1680
_cell_angle_alpha 90.00
_cell_angle_beta 90.00
_cell_angle_gamma 90.00
_symmetry_space_group_name_H-M 'P m m m'
_symmetry_Int_Tables_number 47
loop_
_symmetry_equiv_pos_as_xyz
'x,y,z'
'-x,-y,-z'
'-x,-y,z'
'x,y,-z'
'x,-y,-z'
'-x,y,z'
'-x,y,-z'
'x,-y,z'
loop_
_atom_site_label
_atom_site_type_symbol
_atom_site_fract_x
_atom_site_fract_y
_atom_site_fract_z
_atom_site_occupancy
Sr1 Sr 0.0000 0.0000 0.0000 1
Zr1 Zr 0.5000 0.2319 0.5000 1
Br1 Br 0.0000 0.5000 0.0000 1
```

## Properties
Magnetic moment (μB/cell): 0.00
Energy (eV per cell): -19.27

=====

[7]
A geometry-optimized SrZrBr2 structure. Source: Alexandria, functional GGA-PBE.

Geometry as CIF:
```
data_SrZrBr2
_cell_length_a 3.6716
_cell_length_b 3.6716
_cell_length_c 31.0895
_cell_angle_alpha 90.00
_cell_angle_beta 90.00
_cell_angle_gamma 120.00
_symmetry_space_group_name_H-M 'R -3 m'
_symmetry_Int_Tables_number 166
_symmetry_space_group_name_Hall '-R 3 2"'
loop_
_atom_site_label
_atom_site_type_symbol
_atom_site_fract_x
_atom_site_fract_y
_atom_site_fract_z
_atom_site_occupancy
Sr1 Sr 0.0000 0.0000 0.0000 1
Zr1 Zr 0.0000 0.0000 0.5000 1
Br1 Br 0.0000 0.0000 0.1057 1
```

## Properties
Magnetic moment (μB/cell): 0.00
Energy (eV per cell): -49.35

=====

[8]
A geometry-optimized SrZrBr structure. Source: Alexandria, functional GGA-PBE.

Geometry as CIF:
```
data_SrZrBr
_cell_length_a 3.7048
_cell_length_b 3.7048
_cell_length_c 7.3020
_cell_angle_alpha 90.00
_cell_angle_beta 90.00
_cell_angle_gamma 120.00
_symmetry_space_group_name_H-M 'P 3 m 1'
_symmetry_Int_Tables_number 156
loop_
_symmetry_equiv_pos_as_xyz
'x,y,z'
'-y,x-y,z'
'-x+y,-x,z'
'-y,-x,z'
'-x+y,y,z'
'x,x-y,z'
loop_
_atom_site_label
_atom_site_type_symbol
_atom_site_fract_x
_atom_site_fract_y
_atom_site_fract_z
_atom_site_occupancy
Sr1 Sr 0.0000 0.0000 0.0000 1
Zr1 Zr 0.3333 0.6667 0.3742 1
Br1 Br 0.6667 0.3333 0.6386 1
```

## Properties
Magnetic moment (μB/cell): 0.76
Energy (eV per cell): -12.97

=====

[9]
A geometry-optimized SrZrBr2 structure. Source: Alexandria, functional GGA-PBE.

Geometry as CIF:
```
data_SrZrBr2
_cell_length_a 9.1550
_cell_length_b 3.6115
_cell_length_c 6.5112
_cell_angle_alpha 90.00
_cell_angle_beta 102.66
_cell_angle_gamma 90.00
_symmetry_space_group_name_H-M 'C 1 2/m 1'
_symmetry_Int_Tables_number 12
loop_
_symmetry_equiv_pos_as_xyz
'x,y,z'
'-x,-y,-z'
'-x,y,-z'
'x,-y,z'
'x+1/2,y+1/2,z'
'-x+1/2,-y+1/2,-z'
'-x+1/2,y+1/2,-z'
'x+1/2,-y+1/2,z'
loop_
_atom_site_label
_atom_site_type_symbol
_atom_site_fract_x
_atom_site_fract_y
_atom_site_fract_z
_atom_site_occupancy
Sr1 Sr 0.0000 0.0000 0.0000 1
Zr1 Zr 0.0000 0.5000 0.5000 1
Br1 Br 0.2381 0.0000 0.7109 1
```

## Properties
Magnetic moment (μB/cell): 0.00
Energy (eV per cell): -33.09

=====

[10]
A geometry-optimized SrZrBr2 structure. Source: Alexandria, functional GGA-PBE.

Geometry as CIF:
```
data_SrZrBr2
_cell_length_a 3.5081
_cell_length_b 6.8210
_cell_length_c 9.7941
_cell_angle_alpha 90.00
_cell_angle_beta 90.00
_cell_angle_gamma 90.00
_symmetry_space_group_name_H-M 'C m m m'
_symmetry_Int_Tables_number 65
_symmetry_space_group_name_Hall '-C 2 2'
loop_
_atom_site_label
_atom_site_type_symbol
_atom_site_fract_x
_atom_site_fract_y
_atom_site_fract_z
_atom_site_occupancy
Sr1 Sr 0.0000 0.0000 0.0000 1
Zr1 Zr 0.0000 0.0000 0.5000 1
Br1 Br 0.0000 0.5000 0.2747 1
```

## Properties
Magnetic moment (μB/cell): 0.12
Energy (eV per cell): -32.20

=====

[11]
A geometry-optimized SrZr4Br structure. Source: Alexandria, functional GGA-PBE.

Geometry as CIF:
```
data_SrZr4Br
_cell_length_a 8.7645
_cell_length_b 8.7645
_cell_length_c 8.7645
_cell_angle_alpha 90.00
_cell_angle_beta 90.00
_cell_angle_gamma 90.00
_symmetry_space_group_name_H-M 'F -4 3 m'
_symmetry_Int_Tables_number 216
_symmetry_space_group_name_Hall 'F -4 2 3'
loop_
_atom_site_label
_atom_site_type_symbol
_atom_site_fract_x
_atom_site_fract_y
_atom_site_fract_z
_atom_site_occupancy
Sr1 Sr 0.0000 0.0000 0.0000 1
Zr1 Zr 0.1315 0.1315 0.6315 1
Br1 Br 0.2500 0.2500 0.2500 1
```

## Properties
Magnetic moment (μB/cell): 0.01
Energy (eV per cell): -137.43

=====

[12]
A geometry-optimized SrZrBr2 structure. Source: Alexandria, functional GGA-PBE.

Geometry as CIF:
```
data_SrZrBr2
_cell_length_a 7.9496
_cell_length_b 7.9496
_cell_length_c 7.9496
_cell_angle_alpha 90.00
_cell_angle_beta 90.00
_cell_angle_gamma 90.00
_symmetry_space_group_name_H-M 'F -4 3 m'
_symmetry_Int_Tables_number 216
_symmetry_space_group_name_Hall 'F -4 2 3'
loop_
_atom_site_label
_atom_site_type_symbol
_atom_site_fract_x
_atom_site_fract_y
_atom_site_fract_z
_atom_site_occupancy
Sr1 Sr 0.0000 0.0000 0.0000 1
Zr1 Zr 0.2500 0.2500 0.2500 1
Br1 Br 0.0000 0.0000 0.5000 1
Br2 Br 0.2500 0.2500 0.7500 1
```

## Properties
Magnetic moment (μB/cell): 15.72
Energy (eV per cell): -54.90

=====

[13]
A geometry-optimized SrZr2Br structure. Source: Alexandria, functional GGA-PBE.

Geometry as CIF:
```
data_SrZr2Br
_cell_length_a 4.1780
_cell_length_b 4.1780
_cell_length_c 7.0724
_cell_angle_alpha 90.00
_cell_angle_beta 90.00
_cell_angle_gamma 90.00
_symmetry_space_group_name_H-M 'P 4/m m m'
_symmetry_Int_Tables_number 123
_symmetry_space_group_name_Hall '-P 4 2'
loop_
_atom_site_label
_atom_site_type_symbol
_atom_site_fract_x
_atom_site_fract_y
_atom_site_fract_z
_atom_site_occupancy
Sr1 Sr 0.0000 0.0000 0.0000 1
Zr1 Zr 0.0000 0.5000 0.5000 1
Br1 Br 0.5000 0.5000 0.0000 1
```

## Properties
Magnetic moment (μB/cell): 0.00
Energy (eV per cell): -20.04

=====

[14]
A geometry-optimized SrZrBr structure. Source: Alexandria, functional GGA-PBE.

Geometry as CIF:
```
data_SrZrBr
_cell_length_a 7.9885
_cell_length_b 7.9885
_cell_length_c 7.9885
_cell_angle_alpha 90.00
_cell_angle_beta 90.00
_cell_angle_gamma 90.00
_symmetry_space_group_name_H-M 'F -4 3 m'
_symmetry_Int_Tables_number 216
_symmetry_space_group_name_Hall 'F -4 2 3'
loop_
_atom_site_label
_atom_site_type_symbol
_atom_site_fract_x
_atom_site_fract_y
_atom_site_fract_z
_atom_site_occupancy
Sr1 Sr 0.0000 0.0000 0.0000 1
Zr1 Zr 0.2500 0.2500 0.7500 1
Br1 Br 0.2500 0.2500 0.2500 1
```

## Properties
Magnetic moment (μB/cell): 13.53
Energy (eV per cell): -39.31

=====

[15]
A geometry-optimized Sr3ZrBr structure. Source: Alexandria, functional GGA-PBE.

Geometry as CIF:
```
data_Sr3ZrBr
_cell_length_a 5.9514
_cell_length_b 5.9514
_cell_length_c 5.9514
_cell_angle_alpha 90.00
_cell_angle_beta 90.00
_cell_angle_gamma 90.00
_symmetry_space_group_name_H-M 'P m -3 m'
_symmetry_Int_Tables_number 221
_symmetry_space_group_name_Hall '-P 4 2 3'
loop_
_atom_site_label
_atom_site_type_symbol
_atom_site_fract_x
_atom_site_fract_y
_atom_site_fract_z
_atom_site_occupancy
Sr1 Sr 0.0000 0.0000 0.5000 1
Zr1 Zr 0.5000 0.5000 0.5000 1
Br1 Br 0.0000 0.0000 0.0000 1
```

## Properties
Magnetic moment (μB/cell): 4.13
Energy (eV per cell): -15.07